A relaxed structure of K2BaNa2, computed with PBE.

The space group is I4/mmm (No. 139) and the conventional cell measures 6.562, 6.562 and 13.315 Å, with angles of 90.00, 90.00 and 90.00 degrees. The inequivalent atoms are K at (0.000, 0.000, 0.136), Ba at (0.000, 0.000, 0.500) and Na at (0.000, 0.500, 0.250).

For the size of the total moment, the calculation gives 0.000 μB/cell. The density of states at the Fermi level comes out at 0.68 states/eV/atom. The calculation puts the calculated formation energy at 0.141 eV per atom.